A:
Material: CaSc2CdH
Method: DFT, GGA-PBE
State: optimized geometry

Cell: 4.5665 4.5665 4.9071 Å, 90.00 90.00 90.00°
Positions (direct):
Ca (0.0000, 0.0000, 0.0000)
Sc (0.0000, 0.5000, 0.5000)
Sc (0.5000, 0.0000, 0.5000)
Cd (0.5000, 0.5000, 0.0000)
H (0.0000, 0.0000, 0.5000)

- D(E_F) (states/eV/cell) = 4.6
- density (g cm⁻³) = 3.95
- symmetry = P4/mmm, No. 123
- spin magnetization (μB per formula unit) = 1.53
- V (Å³ per atom) = 20.5



B:
Material: CaSc2CdH
Method: DFT, GGA-PBE
State: optimized geometry

Cell: 5.6377 5.6377 3.7172 Å, 90.00 90.00 90.00°
Positions (direct):
Ca (0.0000, 0.0000, 0.0000)
Sc (0.0000, 0.5000, 0.0000)
Sc (0.5000, 0.0000, 0.0000)
Cd (0.5000, 0.5000, 0.5000)
H (0.0000, 0.0000, 0.5000)

- D(E_F) (states/eV/cell) = 6.3
- density (g cm⁻³) = 3.42
- symmetry = P4/mmm, No. 123
- spin magnetization (μB per formula unit) = 1.30
- V (Å³ per atom) = 23.6



Name the least stable of them. B.



A:
Material: Ca2CdSnH
Method: DFT, GGA-PBE
State: optimized geometry

Cell: 4.8739 4.8739 4.6263 Å, 90.00 90.00 90.00°
Positions (direct):
Ca (0.0000, 0.5000, 0.0000)
Ca (0.5000, 0.0000, 0.0000)
Cd (0.0000, 0.0000, 0.5000)
Sn (0.5000, 0.5000, 0.5000)
H (0.0000, 0.0000, 0.0000)

- D(E_F) (states/eV/cell) = 1.8
- density (g cm⁻³) = 4.72
- symmetry = P4/mmm, No. 123
- spin magnetization (μB per formula unit) = 0.00
- V (Å³ per atom) = 22.0



B:
Material: Ca2CdSnH
Method: DFT, GGA-PBE
State: optimized geometry

Cell: 6.1462 6.1462 3.9685 Å, 90.00 90.00 90.00°
Positions (direct):
Ca (0.0000, 0.5000, 0.0000)
Ca (0.5000, 0.0000, 0.0000)
Cd (0.0000, 0.0000, 0.5000)
Sn (0.5000, 0.5000, 0.0000)
H (0.5000, 0.5000, 0.5000)

- D(E_F) (states/eV/cell) = 5.8
- density (g cm⁻³) = 3.46
- symmetry = P4/mmm, No. 123
- spin magnetization (μB per formula unit) = 0.00
- V (Å³ per atom) = 30.0



Name the least stable of them. B.



A:
Material: Sr2CaCdH
Method: DFT, GGA-PBE
State: optimized geometry

Cell: 5.5735 5.5735 4.7444 Å, 90.00 90.00 90.00°
Positions (direct):
Sr (0.0000, 0.5000, 0.0000)
Sr (0.5000, 0.0000, 0.0000)
Ca (0.0000, 0.0000, 0.5000)
Cd (0.5000, 0.5000, 0.5000)
H (0.0000, 0.0000, 0.0000)

- D(E_F) (states/eV/cell) = 3.4
- density (g cm⁻³) = 3.70
- symmetry = P4/mmm, No. 123
- spin magnetization (μB per formula unit) = 0.00
- V (Å³ per atom) = 29.5



B:
Material: Sr2CaCdH
Method: DFT, GGA-PBE
State: optimized geometry

Cell: 5.3571 5.3571 5.3521 Å, 90.00 90.00 90.00°
Positions (direct):
Sr (0.0000, 0.5000, 0.0000)
Sr (0.5000, 0.0000, 0.0000)
Ca (0.0000, 0.0000, 0.5000)
Cd (0.5000, 0.5000, 0.5000)
H (0.5000, 0.5000, 0.0000)

- D(E_F) (states/eV/cell) = 3.8
- density (g cm⁻³) = 3.55
- symmetry = P4/mmm, No. 123
- spin magnetization (μB per formula unit) = 0.00
- V (Å³ per atom) = 30.7



Name the least stable of them. B.



A:
Material: Ca2TlCdH
Method: DFT, GGA-PBE
State: optimized geometry

Cell: 4.9957 4.9957 4.5041 Å, 90.00 90.00 90.00°
Positions (direct):
Ca (0.0000, 0.5000, 0.0000)
Ca (0.5000, 0.0000, 0.0000)
Tl (0.0000, 0.0000, 0.5000)
Cd (0.5000, 0.5000, 0.5000)
H (0.5000, 0.5000, 0.0000)

- D(E_F) (states/eV/cell) = 1.8
- density (g cm⁻³) = 5.88
- symmetry = P4/mmm, No. 123
- spin magnetization (μB per formula unit) = 0.00
- V (Å³ per atom) = 22.5



B:
Material: Ca2TlCdH
Method: DFT, GGA-PBE
State: optimized geometry

Cell: 5.0867 5.0867 4.5186 Å, 90.00 90.00 90.00°
Positions (direct):
Ca (0.0000, 0.5000, 0.0000)
Ca (0.5000, 0.0000, 0.0000)
Tl (0.0000, 0.0000, 0.5000)
Cd (0.5000, 0.5000, 0.5000)
H (0.0000, 0.0000, 0.0000)

- D(E_F) (states/eV/cell) = 2.0
- density (g cm⁻³) = 5.65
- symmetry = P4/mmm, No. 123
- spin magnetization (μB per formula unit) = 0.00
- V (Å³ per atom) = 23.4



Name the least stable of them. B.



A:
Material: Ca2ZnCdH
Method: DFT, GGA-PBE
State: optimized geometry

Cell: 4.9911 4.9911 4.1670 Å, 90.00 90.00 90.00°
Positions (direct):
Ca (0.0000, 0.5000, 0.0000)
Ca (0.5000, 0.0000, 0.0000)
Zn (0.0000, 0.0000, 0.5000)
Cd (0.5000, 0.5000, 0.5000)
H (0.0000, 0.0000, 0.0000)

- D(E_F) (states/eV/cell) = 2.1
- density (g cm⁻³) = 4.14
- symmetry = P4/mmm, No. 123
- spin magnetization (μB per formula unit) = 0.00
- V (Å³ per atom) = 20.8



B:
Material: Ca2ZnCdH
Method: DFT, GGA-PBE
State: optimized geometry

Cell: 4.9532 4.9532 4.3009 Å, 90.00 90.00 90.00°
Positions (direct):
Ca (0.0000, 0.5000, 0.0000)
Ca (0.5000, 0.0000, 0.0000)
Zn (0.0000, 0.0000, 0.5000)
Cd (0.5000, 0.5000, 0.5000)
H (0.5000, 0.5000, 0.0000)

- D(E_F) (states/eV/cell) = 1.8
- density (g cm⁻³) = 4.08
- symmetry = P4/mmm, No. 123
- spin magnetization (μB per formula unit) = 0.00
- V (Å³ per atom) = 21.1



Name the least stable of them. B.



A:
Material: CaHf2Cd2
Method: DFT, GGA-PBE
State: optimized geometry

Cell: 8.8237 8.8237 3.1186 Å, 90.00 90.00 90.00°
Positions (direct):
Ca (0.0000, 0.0000, 0.0000)
Ca (0.5000, 0.5000, 0.0000)
Hf (0.1174, 0.3826, 0.0000)
Hf (0.3826, 0.8826, 0.0000)
Hf (0.6174, 0.1174, 0.0000)
Hf (0.8826, 0.6174, 0.0000)
Cd (0.1779, 0.6779, 0.5000)
Cd (0.3221, 0.1779, 0.5000)
Cd (0.6779, 0.8221, 0.5000)
Cd (0.8221, 0.3221, 0.5000)

- D(E_F) (states/eV/cell) = 12.5
- density (g cm⁻³) = 8.51
- symmetry = P4/mbm, No. 127
- spin magnetization (μB per formula unit) = 0.00
- V (Å³ per atom) = 24.3



B:
Material: CaHf2Cd2
Method: DFT, GGA-PBE
State: optimized geometry

Cell: 7.4047 7.4047 7.4047 Å, 144.87 144.87 50.53°
Positions (direct):
Ca (0.0000, 0.0000, 0.0000)
Hf (0.3951, 0.3951, 0.0000)
Hf (0.6049, 0.6049, 0.0000)
Cd (0.2500, 0.7500, 0.5000)
Cd (0.7500, 0.2500, 0.5000)

- D(E_F) (states/eV/cell) = 4.7
- density (g cm⁻³) = 7.72
- symmetry = I4/mmm, No. 139
- spin magnetization (μB per formula unit) = 0.59
- V (Å³ per atom) = 26.8



Name the least stable of them. B.



A:
Material: CaHfCd
Method: DFT, GGA-PBE
State: optimized geometry

Cell: 4.6530 4.6530 7.8675 Å, 90.00 90.00 90.00°
Positions (direct):
Ca (0.2500, 0.2500, 0.1675)
Ca (0.7500, 0.7500, 0.8325)
Hf (0.2500, 0.2500, 0.7268)
Hf (0.7500, 0.7500, 0.2732)
Cd (0.2500, 0.7500, 0.5000)
Cd (0.7500, 0.2500, 0.5000)

- D(E_F) (states/eV/cell) = 8.1
- density (g cm⁻³) = 6.45
- symmetry = P4/nmm, No. 129
- spin magnetization (μB per formula unit) = 0.00
- V (Å³ per atom) = 28.4



B:
Material: CaHfCd
Method: DFT, GGA-PBE
State: optimized geometry

Cell: 16.5466 3.2806 3.2806 Å, 59.95 90.00 90.00°
Positions (direct):
Ca (0.1707, 0.0000, 0.0000)
Ca (0.8293, 0.0000, 0.0000)
Hf (0.3440, 0.6662, 0.6662)
Hf (0.6560, 0.6662, 0.6662)
Cd (0.0000, 0.6678, 0.6678)
Cd (0.5000, 0.9986, 0.9986)

- D(E_F) (states/eV/cell) = 7.7
- density (g cm⁻³) = 7.13
- symmetry = Amm2, No. 38
- spin magnetization (μB per formula unit) = 0.00
- V (Å³ per atom) = 25.7



Name the least stable of them. A.



A:
Material: CaHfCd2
Method: DFT, GGA-PBE
State: optimized geometry

Cell: 6.6178 6.6178 6.6178 Å, 105.32 105.32 118.13°
Positions (direct):
Ca (0.0000, 0.0000, 0.0000)
Ca (0.7500, 0.2500, 0.5000)
Hf (0.2500, 0.7500, 0.5000)
Hf (0.5000, 0.5000, 0.0000)
Cd (0.1462, 0.6250, 0.0212)
Cd (0.3750, 0.3962, 0.5212)
Cd (0.6038, 0.1250, 0.9788)
Cd (0.8750, 0.8538, 0.4788)

- D(E_F) (states/eV/cell) = 7.4
- density (g cm⁻³) = 6.72
- symmetry = I-42d, No. 122
- spin magnetization (μB per formula unit) = 0.00
- V (Å³ per atom) = 27.4



B:
Material: CaHfCd2
Method: DFT, GGA-PBE
State: optimized geometry

Cell: 3.5677 3.5677 7.5961 Å, 90.00 90.00 90.00°
Positions (direct):
Ca (0.0000, 0.0000, 0.0000)
Hf (0.0000, 0.0000, 0.5000)
Cd (0.5000, 0.5000, 0.2766)
Cd (0.5000, 0.5000, 0.7234)

- D(E_F) (states/eV/cell) = 1.6
- density (g cm⁻³) = 7.61
- symmetry = P4/mmm, No. 123
- spin magnetization (μB per formula unit) = 0.00
- V (Å³ per atom) = 24.2



C:
Material: CaHfCd2
Method: DFT, GGA-PBE
State: optimized geometry

Cell: 5.1471 5.1471 5.1471 Å, 60.00 60.00 60.00°
Positions (direct):
Ca (0.0000, 0.0000, 0.0000)
Hf (0.5000, 0.5000, 0.5000)
Cd (0.2500, 0.2500, 0.2500)
Cd (0.7500, 0.7500, 0.7500)

- D(E_F) (states/eV/cell) = 2.2
- density (g cm⁻³) = 7.64
- symmetry = Fm-3m, No. 225
- spin magnetization (μB per formula unit) = 0.00
- V (Å³ per atom) = 24.1



Name the least stable of them. A.